Compound: NaZnAgPb
Source: Alexandria
Functional: PBE-GGA
Structure: optimized geometry

Lattice parameters (Å, degrees): 5.021 5.021 5.021 60.00 60.00 60.00
Positions (direct):
Pb1 0.750 0.750 0.750
Ag1 0.000 0.000 0.000
Zn1 0.500 0.500 0.500
Na1 0.250 0.250 0.250

Results
SG: F-43m
ΔE_f: 0.0313 eV per atom
spin magnetization: 0.00 μB/f.u.